VASP calculation (PBE) on a relaxed Ho8Hg2Au crystal.

Properties
crystal system = monoclinic
formation energy from the elements = -303 meV per atom
space group = No. 12
DFT total energy = -3.985 eV per atom

abc: 5.139 6.862 9.340
angles: 102.74 105.97 90.00
Atoms (fractional coordinates):
Ho1 0.410 0.549 0.820
Ho2 0.660 0.971 0.320
Ho3 0.797 0.680 0.595
Ho4 0.977 0.231 0.954
Ho5 0.203 0.320 0.405
Ho6 0.340 0.029 0.680
Ho7 0.590 0.451 0.180
Ho8 0.023 0.769 0.046
Hg1 0.812 0.264 0.623
Hg2 0.188 0.736 0.377
Au1 0.500 0.000 0.000